(1)
Compound: Li4MnCo2O7
Source: Alexandria via LeMat-Bulk
Functional: GGA+U
Structure: optimized geometry

The structure in POSCAR format:
```
Li4MnCo2O7
1.0
2.8844 0.0000 0.0000
-1.4401 6.2652 0.0000
-1.2114 -1.2948 13.2535
Li Mn Co O
8 2 4 14
Direct
0.0000 0.0000 0.0000
0.0475 0.9308 0.2082
0.1015 0.8606 0.4180
0.2803 0.7159 0.8547
0.4128 0.6004 0.2799
0.5149 0.4395 0.7050
0.6924 0.2761 0.1370
0.7987 0.1459 0.5672
0.7518 0.2143 0.3494
0.9049 0.0774 0.7810
0.1611 0.7907 0.6357
0.3443 0.6528 0.0699
0.4605 0.5092 0.4950
0.6436 0.3615 0.9273
0.1153 0.3908 0.8298
0.1748 0.3450 0.0233
0.2368 0.2604 0.2575
0.2898 0.2040 0.4512
0.3112 0.1018 0.6731
0.4976 0.0526 0.8873
0.5100 0.9392 0.0975
0.5931 0.9228 0.3213
0.6299 0.8094 0.5401
0.6915 0.7634 0.7337
0.8050 0.6620 0.9709
0.8740 0.6100 0.1589
0.9300 0.5299 0.3982
0.9908 0.4878 0.5920
```

Electronic total energy   -163.55 eV/cell
Offset from the most stable computed form   3.9 kJ per mole of atoms
N(E_F)   0.12 states/eV/cell



(2)
Compound: Li3Mn3CoO8
Source: Alexandria via LeMat-Bulk
Functional: GGA+U
Structure: optimized geometry

The structure in POSCAR format:
```
Li3Mn3CoO8
1.0
5.1158 -3.0062 0.0000
5.1158 3.0062 0.0000
-2.8202 0.0000 9.5637
Li Mn Co O
6 6 2 16
Direct
0.0251 0.9749 0.5000
0.2366 0.7457 0.2317
0.4545 0.5231 0.9663
0.5231 0.4545 0.4663
0.7457 0.2366 0.7317
0.9749 0.0251 0.0000
0.0068 0.4857 0.4860
0.2336 0.2479 0.7348
0.2479 0.2336 0.2348
0.4857 0.0068 0.9860
0.7391 0.7527 0.7349
0.7527 0.7391 0.2349
0.4983 0.9893 0.4850
0.9893 0.4983 0.9850
0.0938 0.1689 0.8610
0.0939 0.5973 0.8468
0.1481 0.5697 0.3587
0.1689 0.0938 0.3610
0.3328 0.3596 0.0980
0.3562 0.8996 0.1085
0.3596 0.3328 0.5980
0.3838 0.8994 0.6227
0.5697 0.1481 0.8587
0.5973 0.0939 0.3468
0.6424 0.6476 0.8761
0.6476 0.6424 0.3761
0.8306 0.8799 0.6056
0.8799 0.8306 0.1056
0.8994 0.3838 0.1227
0.8996 0.3562 0.6085
```

Electronic total energy   -193.95 eV/cell
Offset from the most stable computed form   0.0 kJ per mole of atoms



(3)
Compound: Li6Mn3CoO10
Source: Alexandria via LeMat-Bulk
Functional: GGA+U
Structure: optimized geometry

The structure in POSCAR format:
```
Li6Mn3CoO10
1.0
2.9957 0.0000 0.0000
-0.8775 7.7614 0.0000
-0.0936 -2.0961 7.8711
Li Mn Co O
6 3 1 10
Direct
0.0000 0.0000 0.0000
0.0155 0.0120 0.5125
0.1450 0.3811 0.6019
0.3818 0.7975 0.2207
0.5670 0.1916 0.7876
0.8405 0.6122 0.4181
0.1655 0.3950 0.1020
0.5665 0.1898 0.3101
0.7964 0.6039 0.9017
0.4154 0.8092 0.6957
0.0131 0.0211 0.2608
0.0214 0.9827 0.7492
0.1254 0.3695 0.3391
0.1593 0.4054 0.8643
0.3989 0.7920 0.4771
0.4239 0.7964 0.9328
0.5458 0.2058 0.0682
0.5812 0.2004 0.5375
0.7905 0.6145 0.6661
0.8120 0.5979 0.1461
```

Electronic total energy   -121.73 eV/cell
Offset from the most stable computed form   5.7 kJ per mole of atoms
N(E_F)   0.66 states/eV/cell



(4)
Compound: Li7Mn4CoO12
Source: Alexandria via LeMat-Bulk
Functional: GGA+U
Structure: optimized geometry

The structure in POSCAR format:
```
Li7Mn4CoO12
1.0
5.7901 0.0000 0.0000
2.8905 5.1791 0.0000
2.8670 0.4326 7.1562
Li Mn Co O
7 4 1 12
Direct
0.0000 0.0000 0.0000
0.0031 0.6592 0.3266
0.4780 0.8585 0.6800
0.4847 0.5169 0.0044
0.4938 0.0037 0.9990
0.5198 0.1409 0.3069
0.9964 0.3374 0.6603
0.0002 0.4957 0.9981
0.4980 0.6702 0.3246
0.5013 0.3304 0.6634
0.9902 0.8425 0.6652
0.0044 0.1584 0.3256
0.2188 0.6799 0.8360
0.2246 0.0053 0.5001
0.2267 0.3330 0.1626
0.2397 0.2057 0.8346
0.2419 0.8497 0.1828
0.2442 0.5315 0.5124
0.7525 0.4668 0.4784
0.7607 0.1443 0.8056
0.7611 0.7935 0.1545
0.7724 0.6660 0.8260
0.7736 0.9878 0.4944
0.7790 0.3205 0.1533
```

Electronic total energy   -149.20 eV/cell
Offset from the most stable computed form   1.7 kJ per mole of atoms



(5)
Compound: Li4MnCo2O7
Source: Alexandria via LeMat-Bulk
Functional: GGA+U
Structure: optimized geometry

The structure in POSCAR format:
```
Li4MnCo2O7
1.0
10.4946 -1.4380 0.0000
10.4946 1.4380 0.0000
-1.7124 0.0000 7.9171
Li Mn Co O
8 2 4 14
Direct
0.0000 0.0000 0.0000
0.0027 0.0027 0.4901
0.1421 0.1421 0.5651
0.2979 0.2979 0.1400
0.4336 0.4336 0.6922
0.5657 0.5657 0.2927
0.7229 0.7229 0.8551
0.8684 0.8684 0.4225
0.5758 0.5758 0.7778
0.7195 0.7195 0.3555
0.1474 0.1474 0.0716
0.2928 0.2928 0.6401
0.4335 0.4335 0.2136
0.8626 0.8626 0.9238
0.0139 0.0139 0.7587
0.1430 0.1430 0.8315
0.1522 0.1522 0.3144
0.2866 0.2866 0.3941
0.2972 0.2972 0.8796
0.4252 0.4252 0.9634
0.4320 0.4320 0.4438
0.5788 0.5788 0.5552
0.5852 0.5852 0.0314
0.7128 0.7128 0.1129
0.7276 0.7276 0.5977
0.8552 0.8552 0.6812
0.8679 0.8679 0.1635
0.9961 0.9961 0.2390
```

Electronic total energy   -163.47 eV/cell
Offset from the most stable computed form   4.2 kJ per mole of atoms
N(E_F)   4.60 states/eV/cell



(6)
Compound: Li4MnCo2O7
Source: Alexandria via LeMat-Bulk
Functional: GGA+U
Structure: optimized geometry

The structure in POSCAR format:
```
Li4MnCo2O7
1.0
9.8025 -1.4440 0.0000
9.8025 1.4440 0.0000
-4.0844 0.0000 8.9720
Li Mn Co O
8 2 4 14
Direct
0.0000 0.0000 0.0000
0.0691 0.0691 0.7871
0.2069 0.2069 0.3572
0.3715 0.3715 0.9244
0.5000 0.5000 0.5000
0.6285 0.6285 0.0756
0.7931 0.7931 0.6428
0.9309 0.9309 0.2129
0.2821 0.2821 0.1462
0.7179 0.7179 0.8538
0.1431 0.1431 0.5623
0.4426 0.4426 0.7354
0.5574 0.5574 0.2646
0.8569 0.8569 0.4377
0.0390 0.0390 0.3924
0.1032 0.1032 0.1925
0.1866 0.1866 0.9512
0.2543 0.2543 0.7715
0.3224 0.3224 0.5204
0.3787 0.3787 0.3248
0.4645 0.4645 0.1159
0.5355 0.5355 0.8841
0.6213 0.6213 0.6752
0.6776 0.6776 0.4796
0.7457 0.7457 0.2285
0.8134 0.8134 0.0488
0.8968 0.8968 0.8075
0.9610 0.9610 0.6076
```

Electronic total energy   -161.98 eV/cell
Offset from the most stable computed form   9.3 kJ per mole of atoms
N(E_F)   4.13 states/eV/cell



(7)
Compound: LiMn2Co2O8
Source: Alexandria via LeMat-Bulk
Functional: GGA+U
Structure: optimized geometry

The structure in POSCAR format:
```
LiMn2Co2O8
1.0
4.8805 -2.9241 0.0000
4.8805 2.9241 0.0000
-3.1434 0.0000 4.6931
Li Mn Co O
1 2 2 8
Direct
0.0000 0.0000 0.0000
0.0000 0.5000 0.5000
0.5000 0.0000 0.5000
0.5000 0.5000 0.0000
0.5000 0.5000 0.5000
0.2602 0.2602 0.2874
0.2651 0.7087 0.7419
0.2657 0.2657 0.7434
0.2913 0.7349 0.2581
0.7087 0.2651 0.7419
0.7343 0.7343 0.2566
0.7349 0.2913 0.2581
0.7398 0.7398 0.7126
```

Electronic total energy   -82.36 eV/cell



(8)
Compound: Li7Mn4CoO12
Source: Alexandria via LeMat-Bulk
Functional: GGA+U
Structure: optimized geometry

The structure in POSCAR format:
```
Li7Mn4CoO12
1.0
5.8097 0.0000 0.0000
2.8977 5.2384 0.0000
1.4460 2.1089 7.1753
Li Mn Co O
7 4 1 12
Direct
0.0000 0.0000 0.0000
0.0152 0.4651 0.0097
0.1607 0.3421 0.6587
0.3240 0.1932 0.3208
0.4975 0.9991 0.0022
0.6650 0.8277 0.6704
0.8389 0.6643 0.3313
0.1664 0.8276 0.6678
0.4984 0.5022 0.9995
0.6707 0.3230 0.6687
0.8329 0.1682 0.3289
0.3250 0.6825 0.3223
0.0251 0.7436 0.4958
0.1564 0.0790 0.1832
0.1879 0.5843 0.1653
0.3393 0.8686 0.8388
0.3606 0.3993 0.8392
0.4980 0.7048 0.5124
0.5184 0.2509 0.5013
0.6368 0.6018 0.1558
0.6551 0.1326 0.1576
0.8077 0.4197 0.8298
0.8309 0.9537 0.8053
0.9748 0.2588 0.5015
```

Electronic total energy   -149.06 eV/cell
Offset from the most stable computed form   2.2 kJ per mole of atoms



(9)
Compound: Li6Mn3CoO10
Source: Alexandria via LeMat-Bulk
Functional: GGA+U
Structure: optimized geometry

The structure in POSCAR format:
```
Li6Mn3CoO10
1.0
6.4908 -1.4398 0.0000
6.4908 1.4398 0.0000
-2.1882 0.0000 9.5762
Li Mn Co O
6 3 1 10
Direct
0.0000 0.0000 0.0000
0.1926 0.1926 0.5996
0.4056 0.4056 0.2115
0.5006 0.5006 0.5021
0.5986 0.5986 0.7939
0.8083 0.8083 0.4037
0.0919 0.0919 0.3077
0.7018 0.7018 0.1017
0.9093 0.9093 0.6962
0.3036 0.3036 0.8975
0.0407 0.0407 0.6565
0.1555 0.1555 0.9661
0.2395 0.2395 0.2427
0.3546 0.3546 0.5685
0.4487 0.4487 0.8341
0.5522 0.5522 0.1697
0.6465 0.6465 0.4355
0.7651 0.7651 0.7621
0.8486 0.8486 0.0295
0.9604 0.9604 0.3467
```

Electronic total energy   -122.18 eV/cell
Offset from the most stable computed form   3.5 kJ per mole of atoms



(10)
Compound: Li7Mn4CoO12
Source: Alexandria via LeMat-Bulk
Functional: GGA+U
Structure: optimized geometry

The structure in POSCAR format:
```
Li7Mn4CoO12
1.0
5.2623 0.0000 0.0000
0.0000 2.8858 0.0000
-0.8014 0.0000 14.6253
Li Mn Co O
7 4 1 12
Direct
0.0000 0.0000 0.0000
0.0054 0.0000 0.5043
0.1739 0.5000 0.3250
0.3725 0.0000 0.1558
0.4974 0.5000 0.0115
0.6729 0.0000 0.8465
0.8193 0.5000 0.6767
0.1480 0.5000 0.8412
0.3189 0.0000 0.6693
0.5205 0.5000 0.5018
0.6902 0.0000 0.3307
0.8836 0.5000 0.1508
0.0027 0.0000 0.7609
0.1722 0.5000 0.0932
0.1817 0.5000 0.5885
0.3199 0.0000 0.9065
0.3948 0.0000 0.4195
0.4596 0.5000 0.7466
0.5228 0.5000 0.2645
0.6686 0.0000 0.5782
0.6868 0.0000 0.0878
0.8466 0.5000 0.4066
0.8733 0.5000 0.9100
0.9658 0.0000 0.2540
```

Electronic total energy   -148.44 eV/cell
Offset from the most stable computed form   4.8 kJ per mole of atoms
N(E_F)   0.03 states/eV/cell



(11)
Compound: Li6Mn3CoO10
Source: Alexandria via LeMat-Bulk
Functional: GGA+U
Structure: optimized geometry

The structure in POSCAR format:
```
Li6Mn3CoO10
1.0
4.8892 -1.4486 0.0000
4.8892 1.4486 0.0000
-2.6287 0.0000 12.4363
Li Mn Co O
6 3 1 10
Direct
0.0000 0.0000 0.0000
0.1978 0.1978 0.4060
0.4061 0.4061 0.7943
0.5018 0.5018 0.4961
0.5931 0.5931 0.1979
0.7987 0.7987 0.5841
0.1047 0.1047 0.6881
0.2973 0.2973 0.0987
0.8958 0.8958 0.3052
0.7007 0.7007 0.8975
0.0639 0.0639 0.8426
0.1526 0.1526 0.5573
0.2608 0.2608 0.2468
0.3401 0.3401 0.9509
0.4730 0.4730 0.6524
0.5268 0.5268 0.3390
0.6585 0.6585 0.0494
0.7398 0.7398 0.7444
0.8466 0.8466 0.4327
0.9324 0.9324 0.1508
```

Electronic total energy   -119.54 eV/cell
Offset from the most stable computed form   16.2 kJ per mole of atoms
N(E_F)   0.08 states/eV/cell



(12)
Compound: Li7Mn4CoO12
Source: Alexandria via LeMat-Bulk
Functional: GGA+U
Structure: optimized geometry

The structure in POSCAR format:
```
Li7Mn4CoO12
1.0
5.0794 0.0000 0.0000
1.4800 5.7779 0.0000
1.6567 0.7902 7.4133
Li Mn Co O
7 4 1 12
Direct
0.0000 0.0000 0.0000
0.0014 0.1838 0.3206
0.4866 0.3493 0.1582
0.9804 0.3654 0.6493
0.9796 0.5108 0.9956
0.9882 0.6814 0.3192
0.9909 0.8537 0.6509
0.4855 0.5162 0.4857
0.4923 0.6753 0.8248
0.4921 0.8495 0.1572
0.4934 0.1787 0.8237
0.4874 0.0261 0.4815
0.2529 0.3471 0.4183
0.2556 0.5309 0.7351
0.2581 0.8706 0.3913
0.2664 0.6899 0.0629
0.2749 0.1525 0.0655
0.2816 0.9892 0.7402
0.7070 0.5466 0.2439
0.7106 0.3703 0.8901
0.7117 0.6813 0.5818
0.7209 0.0055 0.2451
0.7207 0.1675 0.5788
0.7254 0.8279 0.9184
```

Electronic total energy   -149.06 eV/cell
Offset from the most stable computed form   2.2 kJ per mole of atoms



(13)
Compound: Li4MnCo2O7
Source: Alexandria via LeMat-Bulk
Functional: GGA+U
Structure: optimized geometry

The structure in POSCAR format:
```
Li4MnCo2O7
1.0
5.0266 0.0000 0.0000
0.8719 6.4761 0.0000
1.7689 0.2560 7.4591
Li Mn Co O
8 2 4 14
Direct
0.0000 0.0000 0.0000
0.0680 0.8556 0.3479
0.2098 0.5710 0.0696
0.3517 0.2750 0.7936
0.5011 0.9913 0.4993
0.6497 0.7239 0.2110
0.7846 0.4174 0.9259
0.9274 0.1383 0.6504
0.5689 0.8582 0.8597
0.8571 0.2783 0.2809
0.1412 0.7184 0.7214
0.2786 0.4268 0.4336
0.4266 0.1369 0.1418
0.7142 0.5688 0.5707
0.0295 0.4325 0.6630
0.1090 0.2781 0.0551
0.1668 0.1479 0.3753
0.2715 0.9833 0.7521
0.3447 0.8655 0.0960
0.4012 0.6951 0.4775
0.4771 0.5846 0.8116
0.5354 0.4024 0.1903
0.6182 0.3033 0.5245
0.6581 0.1226 0.9017
0.7355 0.0225 0.2492
0.8138 0.8369 0.6171
0.8866 0.7141 0.9463
0.9492 0.5544 0.3298
```

Electronic total energy   -163.89 eV/cell
Offset from the most stable computed form   2.8 kJ per mole of atoms



These records have total magnetic moment values of 8.004; 22.000; 14.010; 14.000; 0.022; 18.000; 6.957; 16.000; 12.000; 10.001; 6.002; 16.000; 13.943 μB per cell, in the order they appear.